i:
Below is an optimized crystal structure of KVI2O8, with properties calculated at the PBE+U level.

abc: 5.3174 9.7904 16.5196
angles: 69.08 90.00 90.00
Last column: nearest neighbours and their distance in Å.
Fractional coordinates of all 48 atoms:
O1 0.0447 0.8388 0.2418  1 I 1.87, 1 V 2.00
O2 0.9542 0.3968 0.1641  1 I 1.90, 1 V 1.98
I1 0.3362 0.4371 0.4290  3 O 1.83-1.90
O3 0.5447 0.1612 0.2582  1 I 1.87, 1 V 2.00
O4 0.6795 0.7388 0.9040  1 V 1.66
O5 0.9553 0.1612 0.7582  1 I 1.87, 1 V 2.00
O6 0.3205 0.2612 0.0960  1 V 1.66
O7 0.9506 0.5472 0.3260  1 V 1.68
O8 0.8205 0.7388 0.4040  1 V 1.66
O9 0.5625 0.8407 0.2223  1 I 1.88, 1 V 2.04
O10 0.2301 0.9230 0.5790  1 I 1.80
K1 0.2724 0.9155 0.4100  7 O 2.83-3.14
O11 0.5494 0.5472 0.8260  1 V 1.68
O12 0.6354 0.3851 0.4879  1 I 1.84
O13 0.1546 0.3017 0.8762  1 I 1.83
O14 0.1354 0.6149 0.0121  1 I 1.84
O15 0.6546 0.6983 0.6238  1 I 1.83
O16 0.7301 0.0770 0.9210  1 I 1.80
V1 0.7871 0.6996 0.3145  2 O 1.66-1.68
O17 0.8646 0.3851 0.9879  1 I 1.84
V2 0.7129 0.6996 0.8145  2 O 1.66-1.68
O18 0.4375 0.1593 0.7777  1 I 1.88, 1 V 2.04
O19 0.9375 0.8407 0.7223  1 I 1.88, 1 V 2.04
K2 0.7276 0.0845 0.5900  7 O 2.83-3.14
I2 0.2193 0.7716 0.6804  3 O 1.80-1.88
K3 0.7724 0.0845 0.0900  7 O 2.83-3.14
O20 0.0494 0.4528 0.6740  1 V 1.68
I3 0.1638 0.4371 0.9290  3 O 1.83-1.90
I4 0.8362 0.5629 0.0710  3 O 1.83-1.90
O21 0.0458 0.6032 0.8359  1 I 1.90, 1 V 1.98
V3 0.2129 0.3004 0.6855  2 O 1.66-1.68
O22 0.4553 0.8388 0.7418  1 I 1.87, 1 V 2.00
O23 0.3646 0.6149 0.5121  1 I 1.84
I5 0.7193 0.2284 0.8196  3 O 1.80-1.88
I6 0.7807 0.2284 0.3196  3 O 1.80-1.88
O24 0.2699 0.9230 0.0790  1 I 1.80
O25 0.7699 0.0770 0.4210  1 I 1.80
O26 0.1795 0.2612 0.5960  1 V 1.66
O27 0.5458 0.3968 0.6641  1 I 1.90, 1 V 1.98
V4 0.2871 0.3004 0.1855  2 O 1.66-1.68
K4 0.2276 0.9155 0.9100  7 O 2.83-3.14
O28 0.0625 0.1593 0.2777  1 I 1.88, 1 V 2.04
O29 0.4506 0.4528 0.1740  1 V 1.68
I7 0.6638 0.5629 0.5710  3 O 1.83-1.90
O30 0.8454 0.6983 0.1238  1 I 1.83
O31 0.4542 0.6032 0.3359  1 I 1.90, 1 V 1.98
O32 0.3454 0.3017 0.3762  1 I 1.83
I8 0.2807 0.7716 0.1804  3 O 1.80-1.88

***

ii:
Below is an optimized crystal structure of KVI2O8, with properties calculated at the PBE+U level.

abc: 5.4440 6.5610 7.4403
angles: 52.37 68.54 65.49
Last column: nearest neighbours and their distance in Å.
Fractional coordinates of all 12 atoms:
I1 0.2851 0.2494 0.1803  3 O 1.80-1.89
I2 0.7149 0.7506 0.8197  3 O 1.80-1.89
V1 0.0000 0.0000 0.0000  2 O 1.76
O1 0.0803 0.6504 0.1889  1 V 1.76
O2 0.8533 0.9907 0.7927  1 I 1.89, 1 V 2.02
O3 0.6367 0.0093 0.2073  1 I 1.89, 1 V 2.02
K1 0.5000 0.5000 0.5000  2 O 2.58
O4 0.9197 0.3496 0.8111  1 V 1.76
O5 0.6846 0.5066 0.1243  1 I 1.80
O6 0.1467 0.0093 0.2073  1 I 1.89, 1 V 2.02
O7 0.3633 0.9907 0.7927  1 I 1.89, 1 V 2.02
O8 0.3154 0.4934 0.8757  1 I 1.80

***

Stability ranking, top and bottom: i is the most stable and ii is the least stable.

***

i:
Below is an optimized crystal structure of KVI2O, with properties calculated at the PBE+U level.

abc: 6.2866 6.2866 4.5918
angles: 90.00 90.00 90.00
Last column: nearest neighbours and their distance in Å.
Fractional coordinates of all 5 atoms:
O1 0.0000 0.0000 0.5000  2 K 2.30
V1 0.5000 0.5000 0.5000  8 I 3.89
I1 0.5000 0.0000 0.0000  2 K 3.14
I2 0.0000 0.5000 0.0000  2 K 3.14
K1 0.0000 0.0000 0.0000  2 O 2.30

***

ii:
Below is an optimized crystal structure of KVI2O, with properties calculated at the PBE+U level.

abc: 5.9863 5.9863 3.7991
angles: 90.00 90.00 90.00
Last column: nearest neighbours and their distance in Å.
Fractional coordinates of all 5 atoms:
K1 0.5000 0.5000 0.5000  8 I 3.55, 2 K 3.80
I1 0.5000 0.0000 0.0000  2 V 2.99
V1 0.0000 0.0000 0.0000  2 O 1.90
O1 0.0000 0.0000 0.5000  2 V 1.90
I2 0.0000 0.5000 0.0000  2 V 2.99

***

Stability ranking, top and bottom: ii is the most stable and i is the least stable.

***

i:
Below is an optimized crystal structure of KVIO2, with properties calculated at the PBE+U level.

abc: 4.6726 4.6726 6.4711
angles: 90.00 90.00 90.00
Last column: nearest neighbours and their distance in Å.
Fractional coordinates of all 5 atoms:
O1 0.5000 0.0000 0.0000  2 K 2.34
K1 0.0000 0.0000 0.0000  4 O 2.34
I1 0.0000 0.0000 0.5000  2 K 3.24, 4 V 3.30
O2 0.0000 0.5000 0.0000  2 K 2.34
V1 0.5000 0.5000 0.5000  4 I 3.30

***

ii:
Below is an optimized crystal structure of KVIO2, with properties calculated at the PBE+U level.

abc: 4.1198 4.1198 5.7167
angles: 90.00 90.00 90.00
Last column: nearest neighbours and their distance in Å.
Fractional coordinates of all 5 atoms:
O1 0.0000 0.5000 0.0000  2 V 2.06
O2 0.5000 0.0000 0.0000  2 V 2.06
K1 0.5000 0.5000 0.5000  4 I 2.91
I1 0.0000 0.0000 0.5000  2 V 2.86, 4 K 2.91
V1 0.0000 0.0000 0.0000  4 O 2.06

***

Stability ranking, top and bottom: ii is the most stable and i is the least stable.

***

i:
Below is an optimized crystal structure of KWI2O, with properties calculated at the PBE+U level.

abc: 6.3365 6.3365 4.6095
angles: 90.00 90.00 90.00
Last column: nearest neighbours and their distance in Å.
Fractional coordinates of all 5 atoms:
I1 0.5000 0.0000 0.0000  2 K 3.17
K1 0.0000 0.0000 0.0000  2 O 2.30
O1 0.0000 0.0000 0.5000  2 K 2.30
I2 0.0000 0.5000 0.0000  2 K 3.17
W1 0.5000 0.5000 0.5000  8 I 3.92

***

ii:
Below is an optimized crystal structure of KWI2O, with properties calculated at the PBE+U level.

abc: 6.2442 6.2442 3.9472
angles: 90.00 90.00 90.00
Last column: nearest neighbours and their distance in Å.
Fractional coordinates of all 5 atoms:
I1 0.5000 0.0000 0.0000  2 W 3.12
K1 0.5000 0.5000 0.5000  8 I 3.69, 2 K 3.95
W1 0.0000 0.0000 0.0000  2 O 1.97
I2 0.0000 0.5000 0.0000  2 W 3.12
O1 0.0000 0.0000 0.5000  2 W 1.97

***

Stability ranking, top and bottom: ii is the most stable and i is the least stable.